A plane-wave DFT calculation with GGA-PBE was carried out for a relaxed structure of Ac2PmOs.

formation energy from the elements	927	meV per atom
M_tot	0.00	μB per cell
DFT total energy	-5.122	eV per atom
space group	R-3m
offset from the most stable computed form	1039	meV/atom
N(E_F)	4.88	states/eV/cell

a b c (Å): 3.596 3.596 12.046
angles (deg): 81.42 81.42 60.00
Atoms (fractional coordinates):
Pm: 0.500 0.500 0.500
Os: 0.000 0.000 0.000
Ac: 0.924 0.924 0.227
Ac: 0.076 0.076 0.773